Entry 1:
Entry from Alexandria via LeMat-Bulk: an optimized crystal structure of SmIn3Te4 (PBE-GGA).

Lattice parameters (Å, degrees): 4.4362 4.4362 15.8785 81.97 81.97 60.00
Sites, in units of the cell vectors:
In: 0.5000 0.5000 0.5000
In: 0.2468 0.2468 0.2597
In: 0.7532 0.7532 0.7403
Te: 0.6275 0.6275 0.1174
Te: 0.8699 0.8699 0.3903
Te: 0.3725 0.3725 0.8826
Te: 0.1301 0.1301 0.6097
Sm: 0.0000 0.0000 0.0000

**Uncorrected energy**: -3.799 eV per atom
**Volume**: 33.38 A^3/atom


Entry 2:
Entry from Alexandria via LeMat-Bulk: an optimized crystal structure of CaScAgBr6 (PBE-GGA).

Lattice parameters (Å, degrees): 7.0707 7.0707 12.7323 90.00 90.00 120.00
Sites, in units of the cell vectors:
Ca: 0.6667 0.3333 0.7500
Ca: 0.3333 0.6667 0.2500
Br: 0.3586 0.3340 0.3720
Br: 0.6414 0.9754 0.8720
Br: 0.3340 0.9754 0.6280
Br: 0.0246 0.6660 0.8720
Br: 0.6660 0.6414 0.1280
Br: 0.6414 0.6660 0.6280
Br: 0.9754 0.6414 0.3720
Br: 0.0246 0.3586 0.6280
Br: 0.3586 0.0246 0.1280
Br: 0.9754 0.3340 0.1280
Br: 0.3340 0.3586 0.8720
Br: 0.6660 0.0246 0.3720
Sc: 0.3333 0.6667 0.7500
Sc: 0.6667 0.3333 0.2500
Ag: 0.0000 0.0000 0.0000
Ag: 0.0000 0.0000 0.5000

**Uncorrected energy**: -3.840 eV per atom
**Volume**: 30.63 A^3/atom


Entry 3:
Entry from Alexandria via LeMat-Bulk: an optimized crystal structure of DyPu2ThTe5 (PBE-GGA).

Lattice parameters (Å, degrees): 5.5025 5.5025 11.7908 90.00 90.00 90.00
Sites, in units of the cell vectors:
Dy: 0.0000 0.0000 0.5000
Te: 0.5000 0.0000 0.5000
Te: 0.0000 0.0000 0.7529
Te: 0.0000 0.5000 0.5000
Te: 0.5000 0.5000 0.0000
Te: 0.0000 0.0000 0.2471
Pu: 0.5000 0.5000 0.6653
Pu: 0.5000 0.5000 0.3347
Th: 0.0000 0.0000 0.0000

**Uncorrected energy**: -6.835 eV per atom
**Volume**: 39.67 A^3/atom


Entry 4:
Entry from Alexandria via LeMat-Bulk: an optimized crystal structure of In2FeMo (PBE-GGA).

Lattice parameters (Å, degrees): 3.0174 3.0174 8.0835 90.00 90.00 90.00
Sites, in units of the cell vectors:
Fe: 0.5000 0.5000 0.7145
In: 0.0000 0.0000 0.9431
In: 0.5000 0.5000 0.2911
Mo: 0.0000 0.0000 0.5513

**Energy relative to the elements**: 0.2399 eV/atom
**Energy above the lowest structure with this stoichiometry**: 0 meV per atom
**Volume**: 18.40 A^3/atom


Entry 5:
Entry from Alexandria via LeMat-Bulk: an optimized crystal structure of LiPr2Tl4 (PBE-GGA).

Lattice parameters (Å, degrees): 5.2765 5.2765 7.5597 90.00 90.00 90.00
Sites, in units of the cell vectors:
Tl: 0.0000 0.5000 0.2499
Tl: 0.5000 0.0000 0.2499
Tl: 0.5000 0.0000 0.7501
Tl: 0.0000 0.5000 0.7501
Pr: 0.5000 0.5000 0.5000
Pr: 0.0000 0.0000 0.0000
Li: 0.5000 0.5000 0.0000

**Energy relative to the elements**: -0.2120 eV/atom
**Energy above the lowest structure with this stoichiometry**: 0 meV per atom
**Volume**: 30.07 A^3/atom


Entry 6:
Entry from Alexandria via LeMat-Bulk: an optimized crystal structure of HfCrC2 (PBE-GGA).

Lattice parameters (Å, degrees): 3.8484 3.8484 3.8484 60.00 60.00 60.00
Sites, in units of the cell vectors:
C: 0.2500 0.2500 0.2500
C: 0.7500 0.7500 0.7500
Cr: 0.0000 0.0000 0.0000
Hf: 0.5000 0.5000 0.5000

**Energy relative to the elements**: 0.5225 eV/atom
**Volume**: 10.08 A^3/atom


Entry 7:
Entry from Alexandria via LeMat-Bulk: an optimized crystal structure of Tl3IrBr7 (PBE-GGA).

Lattice parameters (Å, degrees): 7.5481 7.5481 7.9905 69.92 69.92 83.05
Sites, in units of the cell vectors:
Br: 0.1673 0.1673 0.1169
Br: 0.8562 0.8562 0.8300
Br: 0.6958 0.0581 0.1951
Br: 0.5187 0.5187 0.5483
Br: 0.9686 0.3278 0.7452
Br: 0.0581 0.6958 0.1951
Br: 0.3278 0.9686 0.7452
Tl: 0.5072 0.5072 0.9455
Tl: 0.2165 0.7960 0.4781
Tl: 0.7960 0.2165 0.4781
Ir: 0.0129 0.0129 0.9723

**Uncorrected energy**: -3.051 eV per atom
**Volume**: 36.51 A^3/atom


Entry 8:
Entry from Alexandria via LeMat-Bulk: an optimized crystal structure of Ga2HAu (PBE-GGA).

Lattice parameters (Å, degrees): 4.4544 4.4544 4.4544 60.00 60.00 60.00
Sites, in units of the cell vectors:
Ga: 0.7500 0.7500 0.7500
Ga: 0.2500 0.2500 0.2500
Au: 0.5000 0.5000 0.5000
H: 0.0000 0.0000 0.0000

**Energy above the lowest structure with this stoichiometry**: 220 meV per atom
**Volume**: 15.62 A^3/atom


Entry 9:
Entry from Alexandria via LeMat-Bulk: an optimized crystal structure of PaAlW (PBE-GGA).

Lattice parameters (Å, degrees): 2.8899 4.8486 4.8486 120.00 90.00 90.00
Sites, in units of the cell vectors:
W: 0.1670 0.6667 0.3333
Al: 0.1663 0.0000 0.0000
Pa: 0.6666 0.3333 0.6667

**Energy relative to the elements**: 0.2055 eV/atom
**Energy above the lowest structure with this stoichiometry**: 306 meV per atom
**Volume**: 19.61 A^3/atom


Entry 10:
Entry from Alexandria via LeMat-Bulk: an optimized crystal structure of PmPu2PaS4 (PBE-GGA).

Lattice parameters (Å, degrees): 3.9332 6.8505 6.8417 109.28 90.00 90.00
Sites, in units of the cell vectors:
Pu: 0.0000 0.5000 0.5000
Pu: 0.5000 0.0000 0.5000
S: 0.0000 0.2526 0.7467
S: 0.5000 0.7435 0.7449
S: 0.5000 0.2565 0.2551
S: 0.0000 0.7474 0.2533
Pm: 0.0000 0.0000 0.0000
Pa: 0.5000 0.5000 0.0000

**Uncorrected energy**: -9.218 eV per atom
**Volume**: 21.75 A^3/atom


Entry 11:
Entry from Alexandria via LeMat-Bulk: an optimized crystal structure of UMnCd (PBE-GGA).

Lattice parameters (Å, degrees): 4.9618 4.9618 17.1244 33.01 33.01 34.45
Sites, in units of the cell vectors:
U: 0.1755 0.1755 0.4949
U: 0.0274 0.0274 0.8322
Mn: 0.9418 0.9418 0.7515
Mn: 0.9001 0.9001 0.5268
Cd: 0.3612 0.3612 0.0819
Cd: 0.8535 0.8535 0.2347

**Energy relative to the elements**: 0.2021 eV/atom
**Volume**: 19.03 A^3/atom


Entry 12:
Entry from Alexandria via LeMat-Bulk: an optimized crystal structure of Ac2Hg10Pb (PBE-GGA).

Lattice parameters (Å, degrees): 5.8722 12.7324 11.7761 90.00 90.00 90.00
Sites, in units of the cell vectors:
Pb: 0.0000 0.0000 0.0000
Pb: 0.0000 0.5000 0.5000
Ac: 0.5000 0.8302 0.6145
Ac: 0.5000 0.3302 0.8855
Ac: 0.5000 0.6698 0.1145
Ac: 0.5000 0.1698 0.3855
Hg: 0.2584 0.3050 0.6173
Hg: 0.0000 0.1892 0.8279
Hg: 0.2584 0.8050 0.8827
Hg: 0.0000 0.6892 0.6721
Hg: 0.7416 0.3050 0.6173
Hg: 0.2584 0.6950 0.3827
Hg: 0.7416 0.6950 0.3827
Hg: 0.0000 0.3108 0.3279
Hg: 0.7416 0.1950 0.1173
Hg: 0.0000 0.8108 0.1721
Hg: 0.0000 0.3863 0.0276
Hg: 0.0000 0.8863 0.4724
Hg: 0.0000 0.5315 0.2256
Hg: 0.0000 0.1137 0.5276
Hg: 0.0000 0.9685 0.7256
Hg: 0.0000 0.6137 0.9724
Hg: 0.0000 0.0315 0.2744
Hg: 0.2584 0.1950 0.1173
Hg: 0.7416 0.8050 0.8827
Hg: 0.0000 0.4685 0.7744

**Energy relative to the elements**: -0.0326 eV/atom
**Volume**: 33.86 A^3/atom


Question: What is the formula in the eighth record?
Answer: Ga2HAu


Question: What is the volume in the eleventh record?
Answer: 19.03 A^3/atom


Question: What is the volume in the eleventh record?
Answer: 19.03 A^3/atom